Record 1
DFT (PBE) results for a relaxed structure of SbTe2Cl.

Computed properties:
E_form (uncorrected), meV/atom: 110
Spin magnetization, μB/cell: 0.00
Energy relative to the lowest polymorph listed for this composition, meV/atom: 367

Cell lengths 7.5028, 7.5028, 7.5028 Å; angles 90.00, 90.00, 90.00 degrees
Space group Fm-3m (No. 225)
Inequivalent atoms, fractional coordinates:
Sb1 0.0000 0.0000 0.0000
Te1 0.2500 0.2500 0.2500
Cl1 0.0000 0.0000 0.5000

Record 2
DFT (PBE) results for a relaxed structure of CdHg2Ru.

Computed properties:
Spin magnetization, μB/cell: 1.40
DFT formation energy, eV/atom: 0.418

Cell lengths 3.0399, 3.0399, 8.6615 Å; angles 90.00, 90.00, 90.00 degrees
Space group P4/mmm (No. 123)
Inequivalent atoms, fractional coordinates:
Cd1 0.0000 0.0000 0.0000
Hg1 0.5000 0.5000 0.2759
Ru1 0.0000 0.0000 0.5000

Record 3
DFT (PBE) results for a relaxed structure of Dy3Ho4Tm2.

Computed properties:
Spin magnetization, μB/cell: 0.00
DFT formation energy, eV/atom: 0.104
Energy relative to the lowest polymorph listed for this composition, meV/atom: 85

Cell lengths 16.0899, 11.4354, 6.0470 Å; angles 90.00, 96.09, 90.00 degrees
Space group C2/c (No. 15)
Inequivalent atoms, fractional coordinates:
Dy1 0.0000 0.0968 0.2500
Dy2 0.1672 0.4032 0.0802
Ho1 0.0462 0.3588 0.5135
Ho2 0.2121 0.1417 0.3466
Tm1 0.1198 0.1405 0.8185